Here is CsSmCo2F8 after structural relaxation from the Alexandria database. Energies are from GGA+U.

abc: 4.962 5.137 8.856
angles: 92.80 93.81 92.59
Space group P-1 (No. 2)
Inequivalent atoms, fractional coordinates:
Cs: 0.000 0.000 0.000
Sm: 0.000 0.000 0.500
Co: 0.496 0.535 0.688
F: 0.153 0.261 0.327
F: 0.219 0.243 0.692
F: 0.349 0.716 0.489
F: 0.434 0.715 0.869

Summary:
**Theoretical density**: 4.09 g/cm3
**Total energy**: -64.4 eV/cell